Here is RbBaY2 after structural relaxation from Alexandria. Energies are from GGA-PBE.

As for the mass density: 3.7 g/cm3. For the formation energy, the calculation gives 652 meV per atom. For the final energy, the calculation gives -3.303 eV/atom. For the energy above the most stable polymorph in this dataset, the calculation gives 0 meV per atom. As for the crystal system: cubic.

The structure belongs to space group Fm-3m (No. 225); the cell edges are 8.934, 8.934 and 8.934 Å and the angles 90.00°, 90.00° and 90.00°. The distinct sites, in fractional coordinates, are Rb at (0.000, 0.000, 0.000), Ba at (0.000, 0.000, 0.500) and Y at (0.250, 0.250, 0.250).

Here is RbBa3Y after structural relaxation from Alexandria. Energies are from GGA-PBE.

As for the mass density: 3.5 g/cm3. For the formation energy, the calculation gives 871 meV per atom. For the final energy, the calculation gives -1.769 eV/atom. For the energy above the most stable polymorph in this dataset, the calculation gives 399 meV per atom. As for the crystal system: cubic.

The structure belongs to space group Pm-3m (No. 221); the cell edges are 6.552, 6.552 and 6.552 Å and the angles 90.00°, 90.00° and 90.00°. The distinct sites, in fractional coordinates, are Rb at (0.000, 0.000, 0.000), Ba at (0.000, 0.000, 0.500) and Y at (0.500, 0.500, 0.500).

Here is RbBa3Zn after structural relaxation from Alexandria. Energies are from GGA-PBE.

As for the mass density: 2.6 g/cm3. For the formation energy, the calculation gives 833 meV per atom. For the final energy, the calculation gives -0.769 eV/atom. For the energy above the most stable polymorph in this dataset, the calculation gives 818 meV per atom. As for the crystal system: cubic.

The structure belongs to space group Pm-3m (No. 221); the cell edges are 7.087, 7.087 and 7.087 Å and the angles 90.00°, 90.00° and 90.00°. The distinct sites, in fractional coordinates, are Rb at (0.000, 0.000, 0.000), Ba at (0.000, 0.000, 0.500) and Zn at (0.500, 0.500, 0.500).

Here is RbBa3Zn after structural relaxation from Alexandria. Energies are from GGA-PBE.

As for the mass density: 3.1 g/cm3. For the formation energy, the calculation gives 14 meV per atom. For the final energy, the calculation gives -1.588 eV/atom. For the energy above the most stable polymorph in this dataset, the calculation gives 0 meV per atom. As for the crystal system: cubic.

The structure belongs to space group Pm-3m (No. 221); the cell edges are 6.738, 6.738 and 6.738 Å and the angles 90.00°, 90.00° and 90.00°. The distinct sites, in fractional coordinates, are Rb at (0.000, 0.000, 0.000), Ba at (0.000, 0.500, 0.500) and Zn at (0.500, 0.500, 0.500).